# PBE Tb6HN5, optimized geometry
# final energy: -181.16 eV per cell
data_Tb6HN5
_space_group_name_H-M_alt 'C 1 2/m 1'
_space_group_IT_number 12
_space_group_name_Hall '-C 2y'
_cell_length_a 6.071
_cell_length_b 10.497
_cell_length_c 6.067
_cell_angle_alpha 90.00
_cell_angle_beta 109.64
_cell_angle_gamma 90.00
loop_
_atom_site_label
_atom_site_type_symbol
_atom_site_fract_x
_atom_site_fract_y
_atom_site_fract_z
_atom_site_occupancy
Tb1 Tb 0.236 0.000 0.264 1
Tb2 Tb 0.239 0.176 0.745 1
H1 H 0.000 0.500 0.000 1
N1 N 0.000 0.000 0.500 1
N2 N 0.000 0.167 0.000 1
N3 N 0.000 0.332 0.500 1